Entry 1:
DFT (PBE) results for a geometry-optimized LuScSiAg structure.

Summary:
Theoretical density ... 7.33 g cm⁻³
Uncorrected energy ... -5.206 eV/atom
SG ... F-43m

Structure (extended XYZ):
```
4
Lattice="0.0000 3.4287 3.4287 3.4287 0.0000 3.4287 3.4287 3.4287 0.0000" Properties=species:S:1:pos:R:3 pbc="T T T"
Lu 0.0000 0.0000 0.0000
Sc 3.4287 3.4287 3.4287
Si 1.7144 1.7144 1.7144
Ag 5.1431 5.1431 5.1431
```

Entry 2:
DFT (PBE) results for a geometry-optimized Ac2BN2 structure.

Summary:
Theoretical density ... 9.06 g cm⁻³
Uncorrected energy ... -6.632 eV/atom
SG ... Cmc2_1

Structure (extended XYZ):
```
10
Lattice="1.5774 -8.6270 0.0000 1.5774 8.6270 0.0000 0.0000 0.0000 6.6361" Properties=species:S:1:pos:R:3 pbc="T T T"
Ac 1.5774 7.8297 3.3181
Ac 1.5774 5.7062 0.2424
Ac 1.5774 -5.7062 3.5605
Ac 1.5774 -7.8297 0.0000
B 1.5774 2.9418 1.1276
B 1.5774 -2.9418 4.4457
N 1.5774 5.0912 4.1340
N 1.5774 1.0431 4.5321
N 1.5774 -1.0431 1.2140
N 1.5774 -5.0912 0.8160
```

Entry 3:
DFT (PBE) results for a geometry-optimized NbAu2F structure.

Summary:
Theoretical density ... 11.78 g cm⁻³
SG ... I-42d
E above lowest polymorph ... 0 meV/atom

Structure (extended XYZ):
```
8
Lattice="-3.7215 3.7215 2.5740 3.7215 -3.7215 2.5740 3.7215 3.7215 -2.5740" Properties=species:S:1:pos:R:3 pbc="T T T"
Nb 0.0000 0.0000 0.0000
Nb 0.0000 3.7215 1.2870
Au 1.8608 1.9712 -0.6435
Au 5.4719 1.8608 0.6435
Au 1.8608 1.7503 1.9305
Au -1.7503 1.8608 3.2175
F 3.7215 0.0000 1.2870
F 0.0000 0.0000 2.5740
```

Entry 4:
DFT (PBE) results for a geometry-optimized LaCePmSc structure.

Summary:
Theoretical density ... 6.12 g cm⁻³
Formation energy ... 0.1988 eV/atom
SG ... F-43m

Structure (extended XYZ):
```
4
Lattice="0.0000 3.9929 3.9929 3.9929 0.0000 3.9929 3.9929 3.9929 0.0000" Properties=species:S:1:pos:R:3 pbc="T T T"
La 0.0000 0.0000 0.0000
Ce 1.9964 1.9964 1.9964
Pm 3.9929 3.9929 3.9929
Sc 5.9893 5.9893 5.9893
```

Copy entry 3 word for word.
DFT (PBE) results for a geometry-optimized NbAu2F structure.

Summary:
Theoretical density ... 11.78 g cm⁻³
SG ... I-42d
E above lowest polymorph ... 0 meV/atom

Structure (extended XYZ):
```
8
Lattice="-3.7215 3.7215 2.5740 3.7215 -3.7215 2.5740 3.7215 3.7215 -2.5740" Properties=species:S:1:pos:R:3 pbc="T T T"
Nb 0.0000 0.0000 0.0000
Nb 0.0000 3.7215 1.2870
Au 1.8608 1.9712 -0.6435
Au 5.4719 1.8608 0.6435
Au 1.8608 1.7503 1.9305
Au -1.7503 1.8608 3.2175
F 3.7215 0.0000 1.2870
F 0.0000 0.0000 2.5740
```